## Pm2Ho12Tm5 (PBE)

Data for a geometry-optimized Pm2Ho12Tm5 structure.

Computed properties:
The formation energy comes out at 0.02 eV per atom. For the density of states at the Fermi level, the calculation gives 1.398 states/eV/atom. As for the space-group type: P-1. The spin magnetization is 0.00 Bohr magnetons per cell. The excess energy over the best structure of this formula in the dataset is 0.0 meV per atom.

Lattice parameters (Å, degrees): 6.111 11.137 13.641 137.20 94.25 100.58
Sites, in units of the cell vectors:
Pm 0.736 0.946 0.026
Pm 0.264 0.054 0.974
Ho 0.054 0.211 0.396
Ho 0.210 0.840 0.080
Ho 0.685 0.736 0.132
Ho 0.106 0.424 0.291
Ho 0.633 0.530 0.239
Ho 0.473 0.895 0.552
Ho 0.527 0.105 0.448
Ho 0.894 0.576 0.709
Ho 0.367 0.470 0.761
Ho 0.790 0.160 0.920
Ho 0.315 0.264 0.868
Ho 0.946 0.789 0.604
Tm 0.421 0.682 0.656
Tm 0.158 0.632 0.185
Tm 0.000 0.000 0.500
Tm 0.842 0.368 0.815
Tm 0.579 0.318 0.344


## Na12Ag3O5 (PBE)

Data for a geometry-optimized Na12Ag3O5 structure.

Computed properties:
For the density of states at the Fermi level, the calculation gives 0.374 states/eV/atom. As for the space-group type: Ia-3d. The spin magnetization is 4.01 Bohr magnetons per cell. For the uncorrected formation energy, the calculation gives -0.683 eV per atom.

Lattice parameters (Å, degrees): 13.228 13.228 13.228 109.47 109.47 109.47
Each line ends with the local moment (μB).
Sites, in units of the cell vectors:
Ag 0.750 0.375 0.125  0.04
Ag 0.875 0.750 0.125  0.04
Ag 0.375 0.750 0.625  0.04
Ag 0.250 0.125 0.375  0.04
Ag 0.875 0.125 0.250  0.04
Ag 0.375 0.625 0.250  0.04
Ag 0.625 0.375 0.750  0.04
Ag 0.125 0.875 0.750  0.04
Ag 0.750 0.875 0.625  0.04
Ag 0.625 0.250 0.375  0.04
Ag 0.125 0.250 0.875  0.04
Ag 0.250 0.625 0.875  0.04
O 0.125 0.375 0.250  0.18
O 0.000 0.500 0.000  0.02
O 0.000 0.000 0.000  0.02
O 0.375 0.250 0.125  0.18
O 0.500 0.000 0.500  0.02
O 0.500 0.500 0.000  0.02
O 0.125 0.750 0.375  0.18
O 0.750 0.125 0.875  0.18
O 0.750 0.625 0.375  0.18
O 0.375 0.125 0.750  0.18
O 0.625 0.875 0.250  0.18
O 0.500 0.500 0.500  0.02
O 0.500 0.000 0.000  0.02
O 0.000 0.000 0.500  0.02
O 0.250 0.375 0.625  0.18
O 0.250 0.875 0.125  0.18
O 0.000 0.500 0.500  0.02
O 0.875 0.250 0.625  0.18
O 0.625 0.750 0.875  0.18
O 0.875 0.625 0.750  0.18
Na 0.682 0.100 0.001  0.00
Na 0.319 0.501 0.400  0.00
Na 0.999 0.400 0.318  0.00
Na 0.501 0.182 0.100  0.00
Na 0.582 0.682 0.681  0.00
Na 0.999 0.600 0.181  0.00
Na 0.319 0.818 0.418  0.00
Na 0.100 0.918 0.100  0.00
Na 0.600 0.999 0.681  0.00
Na 0.682 0.582 0.181  0.00
Na 0.818 0.499 0.400  0.00
Na 0.819 0.900 0.001  0.00
Na 0.100 0.682 0.501  0.00
Na 0.400 0.400 0.082  0.00
Na 0.082 0.900 0.400  0.00
Na 0.418 0.100 0.600  0.00
Na 0.082 0.181 0.182  0.00
Na 0.499 0.681 0.100  0.00
Na 0.819 0.918 0.318  0.00
Na 0.100 0.418 0.100  0.00
Na 0.400 0.999 0.818  0.00
Na 0.600 0.600 0.418  0.00
Na 0.900 0.819 0.501  0.00
Na 0.818 0.319 0.918  0.00
Na 0.400 0.400 0.582  0.00
Na 0.100 0.181 0.499  0.00
Na 0.182 0.681 0.082  0.00
Na 0.181 0.082 0.682  0.00
Na 0.600 0.001 0.182  0.00
Na 0.900 0.582 0.900  0.00
Na 0.501 0.319 0.900  0.00
Na 0.582 0.900 0.400  0.00
Na 0.918 0.819 0.818  0.00
Na 0.918 0.100 0.600  0.00
Na 0.900 0.318 0.499  0.00
Na 0.181 0.100 0.999  0.00
Na 0.600 0.600 0.918  0.00
Na 0.400 0.001 0.319  0.00
Na 0.318 0.418 0.819  0.00
Na 0.182 0.501 0.600  0.00
Na 0.900 0.082 0.900  0.00
Na 0.681 0.182 0.582  0.00
Na 0.499 0.818 0.900  0.00
Na 0.001 0.400 0.819  0.00
Na 0.418 0.318 0.319  0.00
Na 0.001 0.600 0.682  0.00
Na 0.681 0.499 0.600  0.00
Na 0.318 0.900 0.999  0.00


## Cr2CoNi (PBE)

Data for a geometry-optimized Cr2CoNi structure.

Computed properties:
The formation energy comes out at 0.57 eV per atom. For the density of states at the Fermi level, the calculation gives 1.145 states/eV/atom. As for the space-group type: I-42d. The spin magnetization is 0.00 Bohr magnetons per cell. The excess energy over the best structure of this formula in the dataset is 536.4 meV per atom.

Lattice parameters (Å, degrees): 6.317 6.317 5.069 51.46 51.46 90.00
Sites, in units of the cell vectors:
Ni 0.000 0.000 0.000
Ni 0.750 0.250 0.500
Co 0.500 0.500 0.000
Co 0.250 0.750 0.500
Cr 0.604 0.125 0.250
Cr 0.146 0.625 0.250
Cr 0.375 0.396 0.750
Cr 0.875 0.854 0.750


## GeIr3Pd (PBE)

Data for a geometry-optimized GeIr3Pd structure.

Computed properties:
The formation energy comes out at 2.04 eV per atom. For the density of states at the Fermi level, the calculation gives 1.789 states/eV/atom. As for the space-group type: Pm-3m. The spin magnetization is 2.78 Bohr magnetons per cell.

Lattice parameters (Å, degrees): 4.766 4.766 4.766 90.00 90.00 90.00
Each line ends with the local moment (μB).
Sites, in units of the cell vectors:
Ge 0.500 0.500 0.500  -0.02
Ir 0.000 0.500 0.000  0.71
Ir 0.000 0.000 0.500  1.16
Ir 0.500 0.000 0.000  0.44
Pd 0.000 0.000 0.000  0.50


## DySiNi6B (PBE)

Data for a geometry-optimized DySiNi6B structure.

Computed properties:
For the density of states at the Fermi level, the calculation gives 0.505 states/eV/atom. As for the space-group type: Imma. The spin magnetization is 0.00 Bohr magnetons per cell. For the uncorrected formation energy, the calculation gives -0.227 eV per atom.

Lattice parameters (Å, degrees): 5.882 7.624 6.974 123.13 114.94 90.00
Sites, in units of the cell vectors:
Dy 0.705 0.455 0.410
Dy 0.295 0.545 0.590
Si 0.500 0.000 0.500
Si 0.000 0.000 0.500
Ni 0.575 0.825 0.151
Ni 0.018 0.268 0.037
Ni 0.903 0.106 0.235
Ni 0.332 0.629 0.235
Ni 0.332 0.106 0.235
Ni 0.903 0.629 0.235
Ni 0.425 0.175 0.849
Ni 0.982 0.732 0.963
Ni 0.097 0.894 0.765
Ni 0.668 0.371 0.765
Ni 0.668 0.894 0.765
Ni 0.097 0.371 0.765
B 0.500 0.500 0.000
B 0.500 0.000 0.000


## ThCd4B3Pt12 (PBE)

Data for a geometry-optimized ThCd4B3Pt12 structure.

Computed properties:
The formation energy comes out at 0.07 eV per atom. For the density of states at the Fermi level, the calculation gives 0.410 states/eV/atom. As for the space-group type: Im-3m. The spin magnetization is 0.00 Bohr magnetons per cell.

Lattice parameters (Å, degrees): 7.788 7.788 7.788 109.47 109.47 109.47
Sites, in units of the cell vectors:
Th 0.000 0.000 0.000
Cd 0.500 0.500 0.500
Cd 0.000 0.000 0.500
Cd 0.500 0.000 0.000
Cd 0.000 0.500 0.000
B 0.500 0.000 0.500
B 0.500 0.500 0.000
B 0.000 0.500 0.500
Pt 0.250 0.500 0.750
Pt 0.714 0.000 0.714
Pt 0.286 0.000 0.286
Pt 0.750 0.500 0.250
Pt 0.714 0.714 0.000
Pt 0.286 0.286 0.000
Pt 0.750 0.250 0.500
Pt 0.250 0.750 0.500
Pt 0.500 0.250 0.750
Pt 0.000 0.714 0.714
Pt 0.500 0.750 0.250
Pt 0.000 0.286 0.286


## Na2MgWBr (PBE)

Data for a geometry-optimized Na2MgWBr structure.

Computed properties:
For the density of states at the Fermi level, the calculation gives 0.743 states/eV/atom. As for the space-group type: P4/mmm. The spin magnetization is 4.12 Bohr magnetons per cell. For the uncorrected formation energy, the calculation gives 1.103 eV per atom.

Lattice parameters (Å, degrees): 5.929 5.244 5.929 90.00 90.00 90.00
Each line ends with the local moment (μB).
Sites, in units of the cell vectors:
Na 0.000 0.000 0.500  0.00
Na 0.500 0.000 0.000  -0.02
Mg 0.000 0.000 0.000  -0.01
Br 0.500 0.500 0.500  0.02
W 0.000 0.500 0.000  3.00


## PbC (PBE)

Data for a geometry-optimized PbC structure.

Computed properties:
The formation energy comes out at 1.91 eV per atom. For the density of states at the Fermi level, the calculation gives 0.156 states/eV/atom. As for the space-group type: R-3m. The spin magnetization is 0.00 Bohr magnetons per cell. The excess energy over the best structure of this formula in the dataset is 1056.0 meV per atom.

Lattice parameters (Å, degrees): 9.532 9.532 9.532 22.86 22.86 22.86
Sites, in units of the cell vectors:
Pb 0.462 0.462 0.462
Pb 0.288 0.288 0.288
C 0.965 0.965 0.965
C 0.785 0.785 0.785


## Tb2ErTl (PBE)

Data for a geometry-optimized Tb2ErTl structure.

Computed properties:
The formation energy comes out at -0.16 eV per atom. For the density of states at the Fermi level, the calculation gives 1.364 states/eV/atom. As for the space-group type: P4/mmm. The spin magnetization is 0.00 Bohr magnetons per cell. The excess energy over the best structure of this formula in the dataset is 22.8 meV per atom.

Lattice parameters (Å, degrees): 3.600 3.600 9.228 90.00 90.00 90.00
Sites, in units of the cell vectors:
Tl 0.500 0.500 0.000
Tb 0.000 0.000 0.768
Tb 0.000 0.000 0.232
Er 0.500 0.500 0.500


## Li3ScPd4 (PBE)

Data for a geometry-optimized Li3ScPd4 structure.

Computed properties:
The formation energy comes out at -0.57 eV per atom. For the density of states at the Fermi level, the calculation gives 0.448 states/eV/atom. As for the space-group type: P4/mmm. The spin magnetization is 0.00 Bohr magnetons per cell. The excess energy over the best structure of this formula in the dataset is 0.0 meV per atom.

Lattice parameters (Å, degrees): 3.152 3.152 11.877 90.00 90.00 90.00
Sites, in units of the cell vectors:
Sc 0.500 0.500 0.000
Pd 0.000 0.000 0.862
Pd 0.000 0.000 0.138
Pd 0.000 0.000 0.380
Pd 0.000 0.000 0.620
Li 0.500 0.500 0.267
Li 0.500 0.500 0.500
Li 0.500 0.500 0.733


## Ce15Ga4Ag (PBE)

Data for a geometry-optimized Ce15Ga4Ag structure.

Computed properties:
The formation energy comes out at -0.17 eV per atom. For the density of states at the Fermi level, the calculation gives 2.393 states/eV/atom. As for the space-group type: P4/mmm. The spin magnetization is 0.00 Bohr magnetons per cell.

Lattice parameters (Å, degrees): 5.459 5.459 16.002 90.00 90.00 90.00
Sites, in units of the cell vectors:
Ce 0.500 0.500 0.000
Ce 0.500 0.500 0.200
Ce 0.500 0.500 0.400
Ce 0.500 0.500 0.600
Ce 0.500 0.500 0.800
Ce 0.500 0.000 0.101
Ce 0.500 0.000 0.299
Ce 0.500 0.000 0.500
Ce 0.500 0.000 0.701
Ce 0.500 0.000 0.899
Ce 0.000 0.500 0.101
Ce 0.000 0.500 0.299
Ce 0.000 0.500 0.500
Ce 0.000 0.500 0.701
Ce 0.000 0.500 0.899
Ga 0.000 0.000 0.201
Ga 0.000 0.000 0.399
Ga 0.000 0.000 0.601
Ga 0.000 0.000 0.799
Ag 0.000 0.000 0.000


## Li2Ce5Pt5 (PBE)

Data for a geometry-optimized Li2Ce5Pt5 structure.

Computed properties:
The formation energy comes out at -0.77 eV per atom. For the density of states at the Fermi level, the calculation gives 1.917 states/eV/atom. As for the space-group type: C2/m. The spin magnetization is 2.66 Bohr magnetons per cell.

Lattice parameters (Å, degrees): 4.551 5.849 11.336 112.41 90.00 112.90
Each line ends with the local moment (μB).
Sites, in units of the cell vectors:
Li 0.058 0.117 0.755  0.01
Li 0.942 0.883 0.245  0.01
Ce 0.500 0.000 0.500  0.55
Ce 0.668 0.336 0.008  0.32
Ce 0.652 0.303 0.274  0.52
Ce 0.348 0.697 0.726  0.52
Ce 0.332 0.664 0.992  0.32
Pt 0.168 0.336 0.445  -0.02
Pt 0.697 0.395 0.775  -0.02
Pt 0.303 0.605 0.225  -0.02
Pt 0.832 0.664 0.555  -0.02
Pt 0.000 0.000 0.000  -0.02


## KPuAg2S4 (PBE)

Data for a geometry-optimized KPuAg2S4 structure.

Computed properties:
For the density of states at the Fermi level, the calculation gives 1.706 states/eV/atom. As for the space-group type: I-42m. The spin magnetization is 4.41 Bohr magnetons per cell. For the uncorrected formation energy, the calculation gives -0.619 eV per atom.

Lattice parameters (Å, degrees): 6.348 6.348 6.348 113.47 113.47 101.74
Each line ends with the local moment (μB).
Sites, in units of the cell vectors:
K 0.500 0.500 0.000  0.00
Pu 0.000 0.000 0.000  4.81
Ag 0.750 0.250 0.500  -0.01
Ag 0.250 0.750 0.500  -0.01
S 0.582 0.582 0.568  -0.09
S 0.986 0.418 0.000  -0.09
S 0.418 0.986 0.000  -0.09
S 0.014 0.014 0.432  -0.09


## Rb2SrSnCl6 (PBE)

Data for a geometry-optimized Rb2SrSnCl6 structure.

Computed properties:
For the density of states at the Fermi level, the calculation gives 0.000 states/eV/atom. As for the space-group type: Fm-3m. The spin magnetization is 0.00 Bohr magnetons per cell. The excess energy over the best structure of this formula in the dataset is 43.7 meV per atom. For the uncorrected formation energy, the calculation gives -1.801 eV per atom.

Lattice parameters (Å, degrees): 8.012 8.012 8.013 60.00 60.00 90.00
Sites, in units of the cell vectors:
Sr 0.500 0.500 0.000
Sn 0.000 0.000 0.000
Rb 0.750 0.250 0.500
Rb 0.250 0.750 0.500
Cl 0.249 0.249 0.503
Cl 0.751 0.751 0.497
Cl 0.249 0.249 0.000
Cl 0.751 0.751 0.000
Cl 0.751 0.249 0.000
Cl 0.249 0.751 0.000


## TiMnSi (PBE)

Data for a geometry-optimized TiMnSi structure.

Computed properties:
For the density of states at the Fermi level, the calculation gives 0.610 states/eV/atom. As for the space-group type: C2/m. The spin magnetization is 0.00 Bohr magnetons per cell. For the uncorrected formation energy, the calculation gives -0.514 eV per atom.

Lattice parameters (Å, degrees): 6.599 3.087 9.506 90.00 124.76 90.00
Sites, in units of the cell vectors:
Si 0.676 0.000 0.645
Si 0.324 0.000 0.355
Si 0.676 0.500 0.145
Si 0.324 0.500 0.855
Mn 0.947 0.000 0.340
Mn 0.053 0.000 0.660
Mn 0.947 0.500 0.840
Mn 0.053 0.500 0.160
Ti 0.698 0.000 0.929
Ti 0.302 0.000 0.071
Ti 0.698 0.500 0.429
Ti 0.302 0.500 0.571


## BaNp3O9 (PBE)

Data for a geometry-optimized BaNp3O9 structure.

Computed properties:
For the density of states at the Fermi level, the calculation gives 0.805 states/eV/atom. As for the space-group type: P6/mmm. The spin magnetization is 5.00 Bohr magnetons per cell. For the uncorrected formation energy, the calculation gives -2.837 eV per atom.

Lattice parameters (Å, degrees): 4.166 7.960 7.960 120.00 90.00 90.00
Each line ends with the local moment (μB).
Sites, in units of the cell vectors:
Ba 0.000 0.000 0.000  0.00
Np 0.500 0.000 0.500  1.90
Np 0.500 0.500 0.000  1.90
Np 0.500 0.500 0.500  1.90
O 0.000 0.000 0.500  -0.09
O 0.500 0.198 0.397  -0.08
O 0.500 0.198 0.802  -0.08
O 0.500 0.603 0.802  -0.08
O 0.000 0.500 0.000  -0.09
O 0.500 0.397 0.198  -0.08
O 0.000 0.500 0.500  -0.09
O 0.500 0.802 0.198  -0.08
O 0.500 0.802 0.603  -0.08


## LiTlHg3 (PBE)

Data for a geometry-optimized LiTlHg3 structure.

Computed properties:
The formation energy comes out at -0.02 eV per atom. For the density of states at the Fermi level, the calculation gives 0.658 states/eV/atom. As for the space-group type: Pm-3m. The spin magnetization is 0.00 Bohr magnetons per cell. The excess energy over the best structure of this formula in the dataset is 113.5 meV per atom.

Lattice parameters (Å, degrees): 5.138 5.138 5.138 90.00 90.00 90.00
Sites, in units of the cell vectors:
Tl 0.500 0.500 0.500
Hg 0.000 0.500 0.000
Hg 0.000 0.000 0.500
Hg 0.500 0.000 0.000
Li 0.000 0.000 0.000


## Tb3Sm13 (PBE)

Data for a geometry-optimized Tb3Sm13 structure.

Computed properties:
The formation energy comes out at 0.03 eV per atom. For the density of states at the Fermi level, the calculation gives 1.747 states/eV/atom. As for the space-group type: Amm2. The spin magnetization is 0.00 Bohr magnetons per cell.

Lattice parameters (Å, degrees): 7.331 8.601 8.601 95.03 90.00 90.00
Sites, in units of the cell vectors:
Tb 0.750 0.042 0.958
Tb 0.000 0.291 0.709
Tb 0.250 0.042 0.958
Sm 0.751 0.960 0.543
Sm 0.750 0.541 0.459
Sm 0.751 0.457 0.040
Sm 0.000 0.709 0.792
Sm 0.000 0.208 0.291
Sm 0.000 0.792 0.208
Sm 0.249 0.960 0.543
Sm 0.250 0.541 0.459
Sm 0.249 0.457 0.040
Sm 0.500 0.291 0.709
Sm 0.500 0.710 0.793
Sm 0.500 0.207 0.290
Sm 0.500 0.792 0.208